Record 1
Below is ZnSb4 after structural relaxation, with properties calculated at the PBE-GGA level.

Lattice parameters (Å, degrees): 5.8750 6.1300 8.3950 90.00 96.46 90.00
Closest atoms and distances in Å follow each position.
Positions (direct):
1 Zn 0.0000 0.0000 0.0000  6 Sb 2.75-3.03
2 Zn 0.0000 0.5000 0.5000  6 Sb 2.75-3.03
3 Sb 0.1997 0.1968 0.7569  2 Zn 2.75-2.99, 2 Sb 2.88-2.89
4 Sb 0.1997 0.3032 0.2569  2 Zn 2.75-2.99, 2 Sb 2.88-2.89
5 Sb 0.3685 0.6588 0.0782  3 Sb 2.88-2.89, 1 Zn 3.03
6 Sb 0.3685 0.8412 0.5782  3 Sb 2.88-2.89, 1 Zn 3.03
7 Sb 0.6315 0.1588 0.4218  3 Sb 2.88-2.89, 1 Zn 3.03
8 Sb 0.6315 0.3412 0.9218  3 Sb 2.88-2.89, 1 Zn 3.03
9 Sb 0.8003 0.6968 0.7431  2 Zn 2.75-2.99, 2 Sb 2.88-2.89
10 Sb 0.8003 0.8032 0.2431  2 Zn 2.75-2.99, 2 Sb 2.88-2.89

Results
E_tot, eV/atom: -3.472

---

Record 2
Below is AcTaIn after structural relaxation, with properties calculated at the PBE-GGA level.

Lattice parameters (Å, degrees): 5.2817 5.2817 5.2817 60.00 60.00 60.00
Closest atoms and distances in Å follow each position.
Positions (direct):
1 Ac 0.0000 0.0000 0.0000  4 In 3.23, 4 Ta 3.23
2 Ta 0.2500 0.2500 0.2500  4 Ac 3.23
3 In 0.7500 0.7500 0.7500  4 Ac 3.23

Results
ΔE to the lowest computed polymorph, eV/f.u.: 1.64
E_tot, eV/atom: -4.856
Magnetization, μB per formula unit: 2.6

---

Record 3
Below is CsCo after structural relaxation, with properties calculated at the PBE-GGA level.

Lattice parameters (Å, degrees): 5.5201 5.5201 5.5201 50.50 50.50 50.50
Closest atoms and distances in Å follow each position.
Positions (direct):
1 Cs 0.0000 0.0000 0.0000  6 Co 3.63
2 Co 0.5000 0.5000 0.5000  6 Cs 3.63

Results
ΔE to the lowest computed polymorph, eV/f.u.: 0.05
E_tot, eV/atom: -2.453
Magnetization, μB per formula unit: 2.0

---

Record 4
Below is FeSiTc2 after structural relaxation, with properties calculated at the PBE-GGA level.

Lattice parameters (Å, degrees): 5.6454 7.2321 5.2921 90.00 90.00 90.00
Closest atoms and distances in Å follow each position.
Positions (direct):
1 Fe 0.0165 0.2500 0.0514  2 Si 2.47, 6 Tc 2.60-2.70
2 Fe 0.4835 0.7500 0.5514  2 Si 2.47, 6 Tc 2.60-2.70
3 Fe 0.5165 0.2500 0.4486  2 Si 2.47, 6 Tc 2.60-2.70
4 Fe 0.9835 0.7500 0.9486  2 Si 2.47, 6 Tc 2.60-2.70
5 Si 0.0834 0.2500 0.5118  6 Tc 2.39-2.52, 2 Fe 2.47
6 Si 0.4166 0.7500 0.0118  6 Tc 2.39-2.52, 2 Fe 2.47
7 Si 0.5834 0.2500 0.9882  6 Tc 2.39-2.52, 2 Fe 2.47
8 Si 0.9166 0.7500 0.4882  6 Tc 2.39-2.52, 2 Fe 2.47
9 Tc 0.1923 0.5373 0.3047  3 Si 2.39-2.52, 2 Fe 2.60-2.66
10 Tc 0.1923 0.9627 0.3047  3 Si 2.39-2.52, 2 Fe 2.60-2.66
11 Tc 0.3077 0.0373 0.8047  3 Si 2.39-2.52, 2 Fe 2.60-2.66
12 Tc 0.3077 0.4627 0.8047  3 Si 2.39-2.52, 2 Fe 2.60-2.66
13 Tc 0.6923 0.5373 0.1953  3 Si 2.39-2.52, 2 Fe 2.60-2.66
14 Tc 0.6923 0.9627 0.1953  3 Si 2.39-2.52, 2 Fe 2.60-2.66
15 Tc 0.8077 0.0373 0.6953  3 Si 2.39-2.52, 2 Fe 2.60-2.66
16 Tc 0.8077 0.4627 0.6953  3 Si 2.39-2.52, 2 Fe 2.60-2.66

Results
E_tot, eV/atom: -8.745
Magnetization, μB per formula unit: 2.4

---

Record 5
Below is LiNbPb2 after structural relaxation, with properties calculated at the PBE-GGA level.

Lattice parameters (Å, degrees): 5.1831 5.1831 5.1831 60.00 60.00 60.00
Closest atoms and distances in Å follow each position.
Positions (direct):
1 Li 0.0000 0.0000 0.0000  4 Nb 3.17, 4 Pb 3.17
2 Nb 0.7500 0.7500 0.7500  4 Pb 3.17, 4 Li 3.17
3 Pb 0.2500 0.2500 0.2500  4 Pb 3.17, 4 Li 3.17
4 Pb 0.5000 0.5000 0.5000  4 Nb 3.17, 4 Pb 3.17

Results
E_tot, eV/atom: -4.278
Magnetization, μB per formula unit: 2.8

---

Record 6
Below is DyTm2In3CuPt2 after structural relaxation, with properties calculated at the PBE-GGA level.

Lattice parameters (Å, degrees): 3.6963 7.7218 7.7218 120.12 90.00 90.00
Closest atoms and distances in Å follow each position.
Positions (direct):
1 Dy 0.0000 0.0000 0.0000  4 Pt 2.99, 6 In 3.17-3.33, 1 Cu 3.17
2 Tm 0.0000 0.4107 0.8215  4 Pt 2.97, 1 Cu 3.17, 2 In 3.17
3 Tm 0.0000 0.8215 0.4107  4 Pt 2.97, 1 Cu 3.17, 2 In 3.17
4 In 0.5000 0.1554 0.4114  2 Cu 2.71, 2 Pt 2.90-2.93
5 In 0.5000 0.4114 0.1554  2 Cu 2.71, 2 Pt 2.90-2.93
6 In 0.5000 0.6659 0.6659  2 Cu 2.70, 2 Pt 2.93
7 Cu 0.0000 0.4114 0.4114  6 In 2.70-2.71
8 Pt 0.5000 0.0782 0.7418  3 In 2.90-2.93, 4 Tm 2.97, 2 Dy 2.99
9 Pt 0.5000 0.7418 0.0782  3 In 2.90-2.93, 4 Tm 2.97, 2 Dy 2.99

Results
E_tot, eV/atom: -5.016
Magnetization, μB per formula unit: 0.0

---

Record 7
Below is LiTaTlCu after structural relaxation, with properties calculated at the PBE-GGA level.

Lattice parameters (Å, degrees): 4.4896 4.4896 4.4896 60.00 60.00 60.00
Closest atoms and distances in Å follow each position.
Positions (direct):
1 Li 0.0000 0.0000 0.0000  4 Ta 2.75, 4 Tl 2.75
2 Ta 0.7500 0.7500 0.7500  4 Cu 2.75, 4 Li 2.75
3 Tl 0.2500 0.2500 0.2500  4 Cu 2.75, 4 Li 2.75
4 Cu 0.5000 0.5000 0.5000  4 Ta 2.75, 4 Tl 2.75

Results
ΔE to the lowest computed polymorph, eV/f.u.: 0.00
E_tot, eV/atom: -4.476
Magnetization, μB per formula unit: 0.0

---

Record 8
Below is Co2Pb3W2 after structural relaxation, with properties calculated at the PBE-GGA level.

Lattice parameters (Å, degrees): 10.3077 10.3077 10.3077 23.11 23.11 23.11
Closest atoms and distances in Å follow each position.
Positions (direct):
1 Co 0.0000 0.0000 0.0000  3 W 2.45, 4 Pb 2.62-2.68
2 Co 0.4903 0.4903 0.4903  3 W 2.45
3 Pb 0.0871 0.0871 0.0871  1 Co 2.62, 1 W 2.69
4 Pb 0.2928 0.2928 0.2928  3 Co 2.68, 3 W 2.98
5 Pb 0.8899 0.8899 0.8899  3 W 2.77
6 W 0.1764 0.1764 0.1764  3 Co 2.45, 1 Pb 2.69
7 W 0.6857 0.6857 0.6857  3 Co 2.45

Results
E_tot, eV/atom: -6.451
Magnetization, μB per formula unit: 0.3